No. 1
Entry from the Alexandria database: a relaxed structure of Sr3Ce2PaAs6 (GGA-PBE).

Values from the calculation:
Uncorrected energy   -69.62 eV/cell
Energy relative to the elements   -1276.4 meV/atom
Space group   C2/m, No. 12

a = 7.4967 Å, b = 7.4967 Å, c = 7.5500 Å
α = 99.54°, β = 99.54°, γ = 119.99°
Last column: nearest neighbours and their distance in Å.
Sites, in units of the cell vectors:
Sr 0.1687 0.8313 0.5000  6 As 3.17-3.24
Sr 0.8313 0.1687 0.5000  6 As 3.17-3.24
Sr 0.5000 0.5000 0.5000  6 As 3.17-3.27
Ce 0.3337 0.6663 0.0000  6 As 2.98-2.99
Ce 0.6663 0.3337 0.0000  6 As 2.98-2.99
Pa 0.0000 0.0000 0.0000  6 As 2.88
As 0.9269 0.6041 0.7803  1 Pa 2.88, 2 Ce 2.98-2.99, 2 Sr 3.17
As 0.7510 0.7510 0.2195  1 Pa 2.88, 2 Ce 2.98, 2 Sr 3.19
As 0.0731 0.3959 0.2197  1 Pa 2.88, 2 Ce 2.98-2.99, 2 Sr 3.17
As 0.6041 0.9269 0.7803  1 Pa 2.88, 2 Ce 2.98-2.99, 2 Sr 3.17
As 0.2490 0.2490 0.7805  1 Pa 2.88, 2 Ce 2.98, 2 Sr 3.19
As 0.3959 0.0731 0.2197  1 Pa 2.88, 2 Ce 2.98-2.99, 2 Sr 3.17

---

No. 2
Entry from the Alexandria database: a relaxed structure of Sr4CePa3As8 (GGA-PBE).

Values from the calculation:
Uncorrected energy   -97.39 eV/cell
Energy relative to the elements   -1190.4 meV/atom
Space group   R-3m, No. 166

a = 8.5541 Å, b = 8.6674 Å, c = 8.5539 Å
α = 119.57°, β = 120.00°, γ = 90.00°
Last column: nearest neighbours and their distance in Å.
Sites, in units of the cell vectors:
Sr 0.5000 0.0000 0.0000  6 As 3.13
Sr 0.5000 0.0000 0.5000  6 As 3.18-3.20
Sr 0.0000 0.0000 0.0000  6 As 3.18-3.20
Sr 0.0000 0.0000 0.5000  6 As 3.18-3.20
Ce 0.0000 0.5000 0.0000  6 As 2.98
Pa 0.5000 0.5000 0.0000  6 As 2.90-2.92
Pa 0.5000 0.5000 0.5000  6 As 2.89-2.92
Pa 0.0000 0.5000 0.5000  6 As 2.89-2.92
As 0.2441 0.7193 0.9752  2 Pa 2.90, 1 Ce 2.98, 3 Sr 3.13-3.20
As 0.2441 0.7192 0.4882  2 Pa 2.89, 1 Ce 2.98, 3 Sr 3.13-3.20
As 0.2608 0.2823 0.5215  3 Pa 2.92, 3 Sr 3.18
As 0.7311 0.7193 0.9752  2 Pa 2.90, 1 Ce 2.98, 3 Sr 3.13-3.20
As 0.2689 0.2807 0.0248  2 Pa 2.90, 1 Ce 2.98, 3 Sr 3.13-3.20
As 0.7392 0.7177 0.4785  3 Pa 2.92, 3 Sr 3.18
As 0.7559 0.2808 0.5118  2 Pa 2.89, 1 Ce 2.98, 3 Sr 3.13-3.20
As 0.7559 0.2807 0.0248  2 Pa 2.90, 1 Ce 2.98, 3 Sr 3.13-3.20

---

Q: The highest energy relative to the elements belongs to which entry?
A: Sr4CePa3As8

---

Repeat the second record exactly.
Entry from the Alexandria database: a relaxed structure of Sr4CePa3As8 (GGA-PBE).

Values from the calculation:
Uncorrected energy   -97.39 eV/cell
Energy relative to the elements   -1190.4 meV/atom
Space group   R-3m, No. 166

a = 8.5541 Å, b = 8.6674 Å, c = 8.5539 Å
α = 119.57°, β = 120.00°, γ = 90.00°
Last column: nearest neighbours and their distance in Å.
Sites, in units of the cell vectors:
Sr 0.5000 0.0000 0.0000  6 As 3.13
Sr 0.5000 0.0000 0.5000  6 As 3.18-3.20
Sr 0.0000 0.0000 0.0000  6 As 3.18-3.20
Sr 0.0000 0.0000 0.5000  6 As 3.18-3.20
Ce 0.0000 0.5000 0.0000  6 As 2.98
Pa 0.5000 0.5000 0.0000  6 As 2.90-2.92
Pa 0.5000 0.5000 0.5000  6 As 2.89-2.92
Pa 0.0000 0.5000 0.5000  6 As 2.89-2.92
As 0.2441 0.7193 0.9752  2 Pa 2.90, 1 Ce 2.98, 3 Sr 3.13-3.20
As 0.2441 0.7192 0.4882  2 Pa 2.89, 1 Ce 2.98, 3 Sr 3.13-3.20
As 0.2608 0.2823 0.5215  3 Pa 2.92, 3 Sr 3.18
As 0.7311 0.7193 0.9752  2 Pa 2.90, 1 Ce 2.98, 3 Sr 3.13-3.20
As 0.2689 0.2807 0.0248  2 Pa 2.90, 1 Ce 2.98, 3 Sr 3.13-3.20
As 0.7392 0.7177 0.4785  3 Pa 2.92, 3 Sr 3.18
As 0.7559 0.2808 0.5118  2 Pa 2.89, 1 Ce 2.98, 3 Sr 3.13-3.20
As 0.7559 0.2807 0.0248  2 Pa 2.90, 1 Ce 2.98, 3 Sr 3.13-3.20